Compound: LiTm2F6
Source: Alexandria via LeMat-Bulk
Functional: PBE
Structure: relaxed

a b c (Å): 5.4866 6.1669 7.8606
angles (deg): 90.00 90.18 90.00
Site moments in Bohr magnetons follow the coordinates.
Fractional coordinates of all 18 atoms:
F (0.8325, 0.8107, 0.6908)  0.01
Li (0.0000, 0.0000, 0.5000)  0.00
F (0.6675, 0.3107, 0.8092)  0.01
F (0.8326, 0.8122, 0.3087)  0.01
F (0.8255, 0.6369, 0.9996)  0.02
F (0.6745, 0.1369, 0.5004)  0.02
Tm (0.5003, 0.9993, 0.7347)  0.24
Tm (0.0003, 0.5007, 0.2347)  0.24
F (0.1745, 0.3631, 0.0004)  0.02
F (0.6674, 0.3122, 0.1913)  0.01
Tm (0.4997, 0.0007, 0.2653)  0.24
F (0.3325, 0.6893, 0.1908)  0.01
F (0.1674, 0.1878, 0.6913)  0.01
Tm (0.9997, 0.4993, 0.7653)  0.24
F (0.3255, 0.8631, 0.4996)  0.02
F (0.3326, 0.6878, 0.8087)  0.01
Li (0.5000, 0.5000, 0.0000)  0.00
F (0.1675, 0.1893, 0.3092)  0.01

Summary:
The raw total energy comes out at -6.07 eV per atom. The value obtained for the uncorrected formation energy is -3136.7 kJ/mol of formula units. Its density of states at the Fermi level is 1.1 states/eV per cell.